<P>
This record from Alexandria via LeMat-Bulk describes a relaxed structure of Tc2SeCl. The functional is PBE-GGA.

a = 3.102 Å, b = 3.102 Å, c = 6.383 Å
α = 90.00°, β = 90.00°, γ = 90.00°
Fractional positions:
Tc 0.000 0.000 0.222
Tc 0.000 0.000 0.778
Se 0.500 0.500 0.000
Cl 0.500 0.500 0.500

Values from the calculation:
The value obtained for the density of states at the Fermi level is 4.50 states/eV/cell. The value obtained for the total moment is 0.000 μB/atom. As for the volume: 15.4 Å³/atom.

=====

<Q>
This record from Alexandria via LeMat-Bulk describes a relaxed structure of Tc2SeCl. The functional is PBE-GGA.

a = 6.642 Å, b = 6.642 Å, c = 6.642 Å
α = 131.93°, β = 131.93°, γ = 70.35°
Fractional positions:
Tc 0.107 0.625 0.982
Tc 0.375 0.357 0.482
Tc 0.643 0.125 0.018
Tc 0.875 0.893 0.518
Se 0.250 0.750 0.500
Se 0.500 0.500 0.000
Cl 0.000 0.000 0.000
Cl 0.750 0.250 0.500

Values from the calculation:
The value obtained for the density of states at the Fermi level is 2.73 states/eV/cell. The value obtained for the total moment is 0.000 μB/atom. As for the volume: 19.9 Å³/atom.

=====

<R>
This record from Alexandria via LeMat-Bulk describes a relaxed structure of Tc2SeCl. The functional is PBE-GGA.

a = 4.265 Å, b = 4.265 Å, c = 5.471 Å
α = 103.35°, β = 103.35°, γ = 41.64°
Fractional positions:
Tc 0.249 0.249 0.286
Tc 0.751 0.751 0.714
Se 0.000 0.000 0.500
Cl 0.500 0.500 0.000

Values from the calculation:
The value obtained for the density of states at the Fermi level is 4.08 states/eV/cell. The value obtained for the total moment is 0.000 μB/atom. As for the volume: 16.0 Å³/atom.

=====

<S>
This record from Alexandria via LeMat-Bulk describes a relaxed structure of Tc2SeCl. The functional is PBE-GGA.

a = 2.941 Å, b = 4.085 Å, c = 5.582 Å
α = 90.00°, β = 90.00°, γ = 90.00°
Fractional positions:
Tc 0.000 0.000 0.000
Tc 0.500 0.000 0.500
Se 0.000 0.500 0.500
Cl 0.500 0.500 0.000

Values from the calculation:
The value obtained for the density of states at the Fermi level is 3.76 states/eV/cell. The value obtained for the total moment is 0.280 μB/atom. As for the volume: 16.8 Å³/atom.

=====

Stability verdict: <R>, ahead by 0.140 eV/atom